This record from Alexandria via LeMat-Bulk describes a relaxed Ac3Pm2Nd2 crystal. The functional is PBE.

Calculated values
Magnetic moment = 0.00 μB per formula unit
Energy above the most stable polymorph in this dataset = 0.000 eV/f.u.
Theoretical density = 7.67 Mg/m³
Crystal system = orthorhombic
Energy relative to the elements = 0.0452 eV per atom

Geometry as POSCAR:
```
Ac3Pm2Nd2
1.0
-5.631 0.248 0.834
0.550 -0.049 3.730
-2.244 12.800 0.500
Nd Pm Ac
2 2 3
direct
0.427 0.500 0.146
0.573 0.500 0.854
0.285 0.500 0.429
0.715 0.500 0.571
0.151 0.000 0.697
0.849 0.000 0.303
0.000 0.000 0.000
```